The following is a GGA-PBE calculation of a relaxed Tb3YHo2Sb6 crystal, from Alexandria via LeMat-Bulk.

Unit cell a=19.1308 b=4.3889 c=8.7789 alpha=90.00 beta=103.21 gamma=90.00
Space group C2/m (No. 12)
Symmetry-distinct sites (fractional):
Tb 0.0000 0.0000 0.0000
Tb 0.1664 0.5000 0.3330
Y 0.0000 0.0000 0.5000
Ho 0.1668 0.5000 0.8331
Sb 0.0006 0.5000 0.7499
Sb 0.1672 0.0000 0.0818
Sb 0.1666 0.0000 0.5847

## Properties
**Uncorrected formation energy**: -1.14 eV/atom
**Density of states at the Fermi level**: 0.16 states/eV/atom